## LiCrPO4 (PBE+U)

Data for an optimized crystal structure of LiCrPO4.

Lattice parameters (Å, degrees): 9.4876 9.4876 6.6057 90.00 90.00 120.00
Sites, in units of the cell vectors:
Li 0.0000 0.0000 0.0000
Li 0.0000 0.0000 0.5000
Li 0.3333 0.6667 0.1607
Li 0.3333 0.6667 0.7068
Li 0.6667 0.3333 0.2068
Li 0.6667 0.3333 0.6607
Cr 0.1083 0.7152 0.4333
Cr 0.2848 0.3930 0.4333
Cr 0.3930 0.1083 0.9333
Cr 0.6070 0.8917 0.4333
Cr 0.7152 0.6070 0.9333
Cr 0.8917 0.2848 0.9333
P 0.0470 0.6848 0.9336
P 0.3152 0.3621 0.9336
P 0.3621 0.0470 0.4336
P 0.6379 0.9530 0.9336
P 0.6848 0.6379 0.4336
P 0.9530 0.3152 0.4336
O 0.0400 0.2122 0.4341
O 0.0944 0.4956 0.4335
O 0.1572 0.7228 0.7449
O 0.1578 0.7230 0.1218
O 0.1722 0.9600 0.4341
O 0.2122 0.1722 0.9341
O 0.2772 0.4344 0.7449
O 0.2770 0.4348 0.1218
O 0.4012 0.9056 0.4335
O 0.4344 0.1572 0.2449
O 0.4348 0.1578 0.6218
O 0.4956 0.4012 0.9335
O 0.5044 0.5988 0.4335
O 0.5652 0.8422 0.1218
O 0.5656 0.8428 0.7449
O 0.5988 0.0944 0.9335
O 0.7230 0.5652 0.6218
O 0.7228 0.5656 0.2449
O 0.7878 0.8278 0.4341
O 0.8278 0.0400 0.9341
O 0.8422 0.2770 0.6218
O 0.8428 0.2772 0.2449
O 0.9056 0.5044 0.9335
O 0.9600 0.7878 0.9341

Calculated values
Energy above the lowest structure with this stoichiometry   3.77 kJ per mole of atoms
E_tot   -7.093 eV/atom
Density of states at the Fermi level   0.0 states/eV per cell